1.
Entry from the Alexandria database: a relaxed Sr3Ga2Hg2 crystal (GGA-PBE).

abc: 6.4283 6.4283 8.8408
angles: 111.14 111.14 39.96
Atoms (fractional coordinates):
Sr (0.0000, 0.0000, 0.0000)
Sr (0.1818, 0.1818, 0.6475)
Sr (0.8182, 0.8182, 0.3525)
Ga (0.3030, 0.3030, 0.0590)
Ga (0.6970, 0.6970, 0.9410)
Hg (0.4680, 0.4680, 0.6694)
Hg (0.5320, 0.5320, 0.3306)

Computed properties:
Its mass density is 6.16 Mg/m³. The magnetization comes out at 0.0000 μB/atom. For the formation energy from the elements, the calculation gives -3.4 eV per formula unit. The calculation puts the volume at 30.95 Å³ per atom.

---

2.
Entry from the Alexandria database: a relaxed Pm2H8Ru crystal (GGA-PBE).

abc: 7.0730 7.0730 4.3293
angles: 107.82 107.82 30.11
Atoms (fractional coordinates):
Pm (0.1454, 0.1454, 0.1464)
Pm (0.8546, 0.8546, 0.8536)
H (0.9999, 0.9999, 0.3172)
H (0.0001, 0.0001, 0.6828)
H (0.2388, 0.2388, 0.7398)
H (0.3907, 0.3907, 0.6116)
H (0.3931, 0.3931, 0.1628)
H (0.6069, 0.6069, 0.8372)
H (0.6093, 0.6093, 0.3884)
H (0.7612, 0.7612, 0.2602)
Ru (0.5000, 0.5000, 0.5000)

Computed properties:
Its mass density is 6.43 Mg/m³. The magnetization comes out at 0.0000 μB/atom. The calculation puts the volume at 9.37 Å³ per atom. The total energy is -4.518 eV per atom.

---

3.
Entry from the Alexandria database: a relaxed Pm6Sn3O2 crystal (GGA-PBE).

abc: 13.3307 13.3307 13.3307
angles: 159.32 159.32 29.41
Atoms (fractional coordinates):
Pm (0.0827, 0.5827, 0.5000)
Pm (0.1944, 0.1944, 0.0000)
Pm (0.4173, 0.9173, 0.5000)
Pm (0.5827, 0.0827, 0.5000)
Pm (0.8056, 0.8056, 0.0000)
Pm (0.9173, 0.4173, 0.5000)
Sn (0.3222, 0.3222, 0.0000)
Sn (0.5000, 0.5000, 0.0000)
Sn (0.6778, 0.6778, 0.0000)
O (0.1004, 0.1004, 0.0000)
O (0.8996, 0.8996, 0.0000)

Computed properties:
Its mass density is 7.08 Mg/m³. The magnetization comes out at 0.0000 μB/atom. The calculation puts the volume at 26.84 Å³ per atom. The total energy is -6.076 eV per atom.

---

4.
Entry from the Alexandria database: a relaxed CaZrCu3 crystal (GGA-PBE).

abc: 4.9438 4.9438 4.9438
angles: 90.00 90.00 90.00
Atoms (fractional coordinates):
Ca (0.0000, 0.0000, 0.0000)
Zr (0.5000, 0.5000, 0.5000)
Cu (0.0000, 0.5000, 0.5000)
Cu (0.5000, 0.0000, 0.5000)
Cu (0.5000, 0.5000, 0.0000)

Computed properties:
Its mass density is 4.42 Mg/m³. The magnetization comes out at 0.0000 μB/atom. For the formation energy from the elements, the calculation gives 3.1 eV per formula unit. The calculation puts the volume at 24.17 Å³ per atom.

---

5.
Entry from the Alexandria database: a relaxed K2CePt3O12 crystal (GGA-PBE).

abc: 7.5832 7.5832 7.5832
angles: 57.46 57.46 57.46
Atoms (fractional coordinates):
K (0.1069, 0.1069, 0.1069)
K (0.8931, 0.8931, 0.8931)
Ce (0.5000, 0.5000, 0.5000)
Pt (0.0000, 0.5000, 0.5000)
Pt (0.5000, 0.0000, 0.5000)
Pt (0.5000, 0.5000, 0.0000)
O (0.1437, 0.5810, 0.5810)
O (0.1811, 0.1811, 0.6008)
O (0.1811, 0.6008, 0.1811)
O (0.3992, 0.8189, 0.8189)
O (0.4190, 0.4190, 0.8563)
O (0.4190, 0.8563, 0.4190)
O (0.5810, 0.1437, 0.5810)
O (0.5810, 0.5810, 0.1437)
O (0.6008, 0.1811, 0.1811)
O (0.8189, 0.3992, 0.8189)
O (0.8189, 0.8189, 0.3992)
O (0.8563, 0.4190, 0.4190)

Computed properties:
Its mass density is 5.69 Mg/m³. The magnetization comes out at 0.0620 μB/atom. The calculation puts the volume at 16.13 Å³ per atom. The total energy is -5.725 eV per atom.

---

6.
Entry from the Alexandria database: a relaxed CeAlSb crystal (GGA-PBE).

abc: 5.9963 5.9963 5.9963
angles: 143.62 143.62 52.39
Atoms (fractional coordinates):
Ce (0.0000, 0.0000, 0.0000)
Al (0.6933, 0.6933, 0.0000)
Sb (0.3078, 0.3078, 0.0000)

Computed properties:
Its mass density is 6.36 Mg/m³. The magnetization comes out at 0.5173 μB/atom. The calculation puts the volume at 25.13 Å³ per atom. The total energy is -4.969 eV per atom.

---

7.
Entry from the Alexandria database: a relaxed TmOsW crystal (GGA-PBE).

abc: 5.3699 5.3699 5.3699
angles: 120.18 116.38 93.03
Atoms (fractional coordinates):
Tm (0.3800, 0.1300, 0.2500)
Tm (0.6200, 0.8700, 0.7500)
Os (0.0000, 0.5000, 0.5000)
Os (0.5000, 0.5000, 0.0000)
W (0.0000, 0.0000, 0.5000)
W (0.0000, 0.5000, 0.0000)

Computed properties:
Its mass density is 16.10 Mg/m³. The magnetization comes out at 0.0000 μB/atom. For the formation energy from the elements, the calculation gives -0.7 eV per formula unit. The calculation puts the volume at 18.67 Å³ per atom.

---

8.
Entry from the Alexandria database: a relaxed NaTcPb3 crystal (GGA-PBE).

abc: 5.3942 5.3942 5.3942
angles: 90.00 90.00 90.00
Atoms (fractional coordinates):
Na (0.0000, 0.0000, 0.0000)
Tc (0.5000, 0.5000, 0.5000)
Pb (0.0000, 0.5000, 0.5000)
Pb (0.5000, 0.0000, 0.5000)
Pb (0.5000, 0.5000, 0.0000)

Computed properties:
Its mass density is 7.86 Mg/m³. The magnetization comes out at 0.0000 μB/atom. For the formation energy from the elements, the calculation gives 1.5 eV per formula unit. The calculation puts the volume at 31.39 Å³ per atom.

---

9.
Entry from the Alexandria database: a relaxed Nd3InGa2 crystal (GGA-PBE).

abc: 5.3130 5.3130 13.0679
angles: 90.00 90.00 120.00
Atoms (fractional coordinates):
Nd (0.0000, 0.0000, 0.2402)
Nd (0.0000, 0.0000, 0.7598)
Nd (0.3333, 0.6667, 0.4167)
Nd (0.3333, 0.6667, 0.9250)
Nd (0.6667, 0.3333, 0.0750)
Nd (0.6667, 0.3333, 0.5833)
In (0.3333, 0.6667, 0.6695)
In (0.6667, 0.3333, 0.3305)
Ga (0.0000, 0.0000, 0.0000)
Ga (0.0000, 0.0000, 0.5000)
Ga (0.3333, 0.6667, 0.1700)
Ga (0.6667, 0.3333, 0.8300)

Computed properties:
Its mass density is 7.14 Mg/m³. The magnetization comes out at 0.0000 μB/atom. For the formation energy from the elements, the calculation gives -3.1 eV per formula unit. The calculation puts the volume at 26.62 Å³ per atom.

---

10.
Entry from the Alexandria database: a relaxed NdSbAs crystal (GGA-PBE).

abc: 4.2877 4.2877 9.4720
angles: 99.23 99.23 90.72
Atoms (fractional coordinates):
Nd (0.1800, 0.1800, 0.3399)
Nd (0.8200, 0.8200, 0.6601)
Sb (0.2312, 0.2312, 0.9770)
Sb (0.7688, 0.7688, 0.0230)
As (0.3240, 0.3240, 0.6630)
As (0.6760, 0.6760, 0.3370)

Computed properties:
Its mass density is 6.68 Mg/m³. The magnetization comes out at 0.0000 μB/atom. The calculation puts the volume at 28.25 Å³ per atom. The total energy is -5.344 eV per atom.

---

11.
Entry from the Alexandria database: a relaxed LaPrCuAg crystal (GGA-PBE).

abc: 5.2807 5.2807 5.2807
angles: 60.00 60.00 60.00
Atoms (fractional coordinates):
La (0.0000, 0.0000, 0.0000)
Pr (0.5000, 0.5000, 0.5000)
Cu (0.7500, 0.7500, 0.7500)
Ag (0.2500, 0.2500, 0.2500)

Computed properties:
Its mass density is 7.20 Mg/m³. The magnetization comes out at 0.0001 μB/atom. For the formation energy from the elements, the calculation gives -0.7 eV per formula unit. The calculation puts the volume at 26.03 Å³ per atom.

---

12.
Entry from the Alexandria database: a relaxed PmPr2NpO8 crystal (GGA-PBE).

abc: 4.0009 7.6617 5.6043
angles: 90.00 94.79 90.00
Atoms (fractional coordinates):
Pm (0.0000, 0.0000, 0.0000)
Pr (0.5000, 0.2444, 0.5000)
Pr (0.5000, 0.7556, 0.5000)
Np (0.0000, 0.5000, 0.0000)
O (0.0356, 0.2839, 0.7711)
O (0.0356, 0.7161, 0.7711)
O (0.4394, 0.5000, 0.2129)
O (0.4973, 0.0000, 0.7496)
O (0.5027, 0.0000, 0.2504)
O (0.5606, 0.5000, 0.7871)
O (0.9644, 0.2839, 0.2289)
O (0.9644, 0.7161, 0.2289)

Computed properties:
Its mass density is 7.68 Mg/m³. The magnetization comes out at 0.0000 μB/atom. The calculation puts the volume at 14.27 Å³ per atom. The total energy is -8.676 eV per atom.